A relaxed Na2MgPb2O6 crystal. Source: Alexandria via LeMat-Bulk, functional PBE.

abc: 5.688 5.688 5.925
angles: 98.63 98.63 120.29
Atoms (fractional coordinates):
Na 0.837 0.163 0.000
Na 0.163 0.837 0.000
Mg 0.000 0.000 0.500
Pb 0.335 0.665 0.500
Pb 0.665 0.335 0.500
O 0.747 0.747 0.694
O 0.056 0.395 0.707
O 0.253 0.253 0.306
O 0.395 0.056 0.707
O 0.944 0.605 0.293
O 0.605 0.944 0.293

Calculated values
Total magnetization = 0.00 μB/atom
Uncorrected formation energy = -15.80 eV per formula unit
Space-group type = C2/m, No. 12
E = -57.2 eV per cell